HfInRh after structural relaxation, computed with PBE.

Cell: 6.084 6.084 6.084 Å, 149.82 149.82 43.21°
Atoms (fractional coordinates):
Hf1 0.000 0.000 0.000
In1 0.697 0.697 0.000
Rh1 0.360 0.360 0.000

Values from the calculation:
DFT total energy: -21.583 eV for the cell shown
Total moment: 0.00 μB/cell